A geometry-optimized Ca2YTa4 structure. Source: Alexandria, functional PBE.

Lattice parameters (Å, degrees): 4.9937 4.9937 8.6869 73.30 73.30 90.00
Last column: nearest neighbours and their distance in Å.
Fractional positions:
Y 0.0000 0.0000 0.0000  6 Ta 2.50-2.51
Ca 0.6389 0.6389 0.7222  9 Ta 3.22-3.54
Ca 0.3611 0.3611 0.2778  9 Ta 3.22-3.54
Ta 0.8420 0.8420 0.3161  1 Y 2.51
Ta 0.1580 0.1580 0.6839  1 Y 2.51
Ta 0.0000 0.5000 0.0000  2 Y 2.50
Ta 0.5000 0.0000 0.0000  2 Y 2.50

Computed properties:
Energy in Ry/atom: -0.4560
Space-group type: No. 139
Calculated formation energy in meV/atom: 2065

***

A geometry-optimized CaYTa3 structure. Source: Alexandria, functional PBE.

Lattice parameters (Å, degrees): 5.0777 5.0777 5.0777 90.00 90.00 90.00
Last column: nearest neighbours and their distance in Å.
Fractional positions:
Y 0.0000 0.0000 0.0000  6 Ta 2.54
Ca 0.5000 0.5000 0.5000  12 Ta 3.59
Ta 0.0000 0.5000 0.0000  2 Y 2.54
Ta 0.0000 0.0000 0.5000  2 Y 2.54
Ta 0.5000 0.0000 0.0000  2 Y 2.54

Computed properties:
Energy in Ry/atom: -0.5009
Space-group type: No. 221
Distance to the lowest polymorph of the same formula in eV/f.u.: 0.00
Calculated formation energy in meV/atom: 1990

***

A geometry-optimized Ca2YTa structure. Source: Alexandria, functional PBE.

Lattice parameters (Å, degrees): 5.8824 3.2250 6.0323 85.47 90.00 90.00
Last column: nearest neighbours and their distance in Å.
Fractional positions:
Y 0.5000 0.7500 0.7500  2 Y 3.23, 4 Ta 3.31-3.53, 4 Ca 3.47
Ca 0.0000 0.0078 0.0133  5 Ca 3.19-3.43, 2 Ta 3.39, 2 Y 3.47
Ca 0.0000 0.4922 0.4867  5 Ca 3.19-3.43, 2 Ta 3.39, 2 Y 3.47
Ta 0.5000 0.2500 0.2500  2 Ta 3.23, 4 Y 3.31-3.53, 4 Ca 3.39

Computed properties:
Energy in Ry/atom: -0.3634
Space-group type: No. 10
Distance to the lowest polymorph of the same formula in eV/f.u.: 0.92
Calculated formation energy in meV/atom: 635